Crystalline DyErPuTl at its relaxed geometry. Source: Alexandria via LeMat-Bulk, functional GGA-PBE.

Properties
Its space-group type is F-43m (216). For the formation energy, the calculation gives 1.20 kcal/mol of atoms. The calculation puts the magnetization at 6.760 μB/cell.

Unit cell a=5.398 b=5.398 c=5.398 alpha=60.00 beta=60.00 gamma=60.00
Each line ends with the local moment (μB).
Sites, in units of the cell vectors:
Tl: 0.750 0.750 0.750  -0.04
Er: 0.500 0.500 0.500  0.35
Dy: 0.000 0.000 0.000  0.34
Pu: 0.250 0.250 0.250  5.71